Version A
# LaSi2Hg2 | Alexandria via LeMat-Bulk | GGA-PBE | optimized geometry
data_LaSi2Hg2
_symmetry_space_group_name_H-M 'I 4/m m m'
_symmetry_Int_Tables_number 139
_symmetry_space_group_name_Hall '-I 4 2'
_cell_length_a 4.365
_cell_length_b 4.365
_cell_length_c 11.783
_cell_angle_alpha 90.00
_cell_angle_beta 90.00
_cell_angle_gamma 90.00
loop_
_atom_site_label
_atom_site_fract_x
_atom_site_fract_y
_atom_site_fract_z
_atom_site_occupancy
La1 0.000 0.000 0.000 1
Si1 0.000 0.000 0.401 1
Hg1 0.000 0.500 0.250 1
# magnetic moment	0.00	μB per cell
# D(E_F)	5.706	states/eV/cell

=====

Version B
# LaSi2Hg2 | Alexandria via LeMat-Bulk | GGA-PBE | optimized geometry
data_LaSi2Hg2
_symmetry_space_group_name_H-M 'I 4/m m m'
_symmetry_Int_Tables_number 139
_symmetry_space_group_name_Hall '-I 4 2'
_cell_length_a 4.796
_cell_length_b 4.796
_cell_length_c 10.072
_cell_angle_alpha 90.00
_cell_angle_beta 90.00
_cell_angle_gamma 90.00
loop_
_atom_site_label
_atom_site_fract_x
_atom_site_fract_y
_atom_site_fract_z
_atom_site_occupancy
La1 0.000 0.000 0.000 1
Si1 0.000 0.500 0.250 1
Hg1 0.000 0.000 0.363 1
# magnetic moment	0.00	μB per cell
# D(E_F)	4.237	states/eV/cell

=====

Stability check: which of them is least stable? version B.

=====

Version A
# LaSiHg3 | Alexandria via LeMat-Bulk | GGA-PBE | optimized geometry
data_LaSiHg3
_symmetry_space_group_name_H-M 'P m -3 m'
_symmetry_Int_Tables_number 221
_symmetry_space_group_name_Hall '-P 4 2 3'
_cell_length_a 6.020
_cell_length_b 6.020
_cell_length_c 6.020
_cell_angle_alpha 90.00
_cell_angle_beta 90.00
_cell_angle_gamma 90.00
loop_
_atom_site_label
_atom_site_fract_x
_atom_site_fract_y
_atom_site_fract_z
_atom_site_occupancy
La1 0.000 0.000 0.000 1
Si1 0.500 0.500 0.500 1
Hg1 0.000 0.000 0.500 1
# magnetic moment	1.60	μB per cell
# D(E_F)	6.140	states/eV/cell

=====

Version B
# LaSiHg3 | Alexandria via LeMat-Bulk | GGA-PBE | optimized geometry
data_LaSiHg3
_symmetry_space_group_name_H-M 'P m -3 m'
_symmetry_Int_Tables_number 221
_symmetry_space_group_name_Hall '-P 4 2 3'
_cell_length_a 5.110
_cell_length_b 5.110
_cell_length_c 5.110
_cell_angle_alpha 90.00
_cell_angle_beta 90.00
_cell_angle_gamma 90.00
loop_
_atom_site_label
_atom_site_fract_x
_atom_site_fract_y
_atom_site_fract_z
_atom_site_occupancy
La1 0.000 0.000 0.000 1
Si1 0.500 0.500 0.500 1
Hg1 0.000 0.500 0.500 1
# magnetic moment	0.00	μB per cell
# D(E_F)	2.682	states/eV/cell

=====

Stability check: which of them is least stable? version A.